Density functional theory data (meta-GGA SCAN) for a PBEsol-optimized structure of CoMoBr4.

Uncorrected formation energy in eV per atom: 1.375
E_tot in eV per cell: -121.8
Space-group type: F-43m

```
6
Lattice="0.000 4.238 4.238 4.238 0.000 4.238 4.238 4.238 0.000" Properties=species:S:1:pos:R:3 pbc="T T T"
Co 0.000 0.000 0.000
Mo 2.119 2.119 2.119
Br 5.303 3.174 3.174
Br 3.174 5.303 3.174
Br 3.174 3.174 5.303
Br 5.303 5.303 5.303
```

Density functional theory data (meta-GGA SCAN) for a PBEsol-optimized structure of AlZnMo2.

Formation enthalpy at 0 K in eV/atom: 0.14
E_tot in eV per cell: -90.5
Space-group type: Pmm2

```
4
Lattice="2.661 0.000 0.000 0.000 4.054 0.000 0.000 0.000 5.542" Properties=species:S:1:pos:R:3 pbc="T T T"
Al 0.000 0.000 0.000
Zn 1.331 2.027 4.237
Mo 0.000 0.000 2.785
Mo 1.331 2.027 1.457
```

Density functional theory data (meta-GGA SCAN) for a PBEsol-optimized structure of ReSbO2F.

Uncorrected formation energy in eV per atom: -0.710
E_tot in eV per cell: -127.9
Space-group type: P4/mmm

```
5
Lattice="3.692 0.000 0.000 0.000 3.692 0.000 0.000 0.000 6.369" Properties=species:S:1:pos:R:3 pbc="T T T"
Re 0.000 0.000 0.000
Sb 1.846 1.846 3.184
O 0.000 1.846 0.000
O 1.846 0.000 0.000
F 0.000 0.000 3.184
```

Density functional theory data (meta-GGA SCAN) for a PBEsol-optimized structure of CuTe3.

Uncorrected formation energy in eV per atom: 0.508
E_tot in eV per cell: -124.9
Space-group type: Pm-3m

```
4
Lattice="5.128 0.000 0.000 0.000 5.128 0.000 0.000 0.000 5.128" Properties=species:S:1:pos:R:3 pbc="T T T"
Cu 0.000 0.000 0.000
Te 0.000 0.000 2.564
Te 0.000 2.564 0.000
Te 2.564 0.000 0.000
```

Density functional theory data (meta-GGA SCAN) for a PBEsol-optimized structure of CaRhBr3.

Uncorrected formation energy in eV per atom: -0.497
E_tot in eV per cell: -104.3
Space-group type: Pm-3m

```
5
Lattice="5.449 0.000 0.000 0.000 5.449 0.000 0.000 0.000 5.449" Properties=species:S:1:pos:R:3 pbc="T T T"
Ca 0.000 0.000 0.000
Rh 2.724 2.724 2.724
Br 0.000 0.000 2.724
Br 0.000 2.724 0.000
Br 2.724 0.000 0.000
```

Density functional theory data (meta-GGA SCAN) for a PBEsol-optimized structure of Si4Ir.

Relative energy among the computed polymorphs in meV/atom: 10
Uncorrected formation energy in eV per atom: 0.441
E_tot in eV per cell: -109.0
Space-group type: Im-3m

```
5
Lattice="-2.767 2.767 2.767 2.767 -2.767 2.767 2.767 2.767 -2.767" Properties=species:S:1:pos:R:3 pbc="T T T"
Si 1.383 1.383 -1.383
Si 1.383 -1.383 1.383
Si -1.383 1.383 1.383
Si 1.383 1.383 1.383
Ir 0.000 0.000 0.000
```

Density functional theory data (meta-GGA SCAN) for a PBEsol-optimized structure of LiFeP4O12.

Relative energy among the computed polymorphs in meV/atom: 26
Uncorrected formation energy in eV per atom: -2.273
E_tot in eV per cell: -355.6
Space-group type: Cc

```
36
Lattice="4.663 -6.773 0.000 4.663 6.773 0.000 -1.837 0.000 7.161" Properties=species:S:1:pos:R:3 pbc="T T T"
Li 3.744 4.816 3.581
Li 4.663 -4.816 0.000
Fe 2.840 1.753 0.324
Fe 1.921 -1.753 3.905
P 2.164 4.369 6.268
P 0.506 1.037 4.489
P 1.425 -1.037 0.908
P 3.204 1.057 3.321
P 2.286 -1.057 6.901
P 5.651 2.220 4.491
P 3.082 -4.369 2.688
P 6.570 -2.220 0.911
O 0.147 1.747 5.773
O 2.382 4.493 4.821
O 3.176 5.407 6.989
O 1.517 0.479 0.935
O 1.853 1.669 3.918
O 2.305 3.038 6.985
O 0.599 -0.479 4.516
O 1.066 -1.747 2.192
O 3.587 1.793 2.065
O 2.205 0.443 6.842
O 5.283 3.706 4.381
O 2.772 -1.669 0.338
O 3.123 -0.443 3.262
O 4.256 1.443 4.441
O 2.669 -1.793 5.645
O 6.319 1.778 3.089
O 3.224 -3.038 3.404
O 5.174 -1.443 0.861
O 6.450 1.744 5.628
O 3.300 -4.493 1.241
O 5.400 -1.778 6.670
O 4.094 -5.407 3.408
O 6.201 -3.706 0.800
O 7.369 -1.744 2.048
```

Density functional theory data (meta-GGA SCAN) for a PBEsol-optimized structure of CrRu2Cl.

Relative energy among the computed polymorphs in meV/atom: 601
Uncorrected formation energy in eV per atom: 0.983
E_tot in eV per cell: -92.1
Space-group type: F-43m

```
4
Lattice="0.000 2.977 2.977 2.977 0.000 2.977 2.977 2.977 0.000" Properties=species:S:1:pos:R:3 pbc="T T T"
Cr 0.000 0.000 0.000
Ru 1.489 1.489 1.489
Ru 2.977 2.977 2.977
Cl 4.466 4.466 4.466
```